20
Lattice="4.660 -7.746 0.000 4.660 7.746 0.000 -1.655 0.000 9.867" Properties=species:S:1:pos:R:3 comment="PBE La6Pr2ErTm, relaxed" volume_a3_per_atom=35.6 dft_energy_ev_per_cell=-94.3 dos_at_fermi_per_ev_cell=31.7 magnetic_moment_mub_per_cell=0.00 formation_energy_ev_per_atom=0.1029 pbc="T T T"
La 2.365 4.351 1.933
La 3.127 4.938 5.429
La 3.710 4.938 9.371
La 3.074 1.569 3.760
La 6.128 4.351 3.001
La 2.246 -1.569 8.694
La 5.418 1.569 1.173
La 1.537 -4.351 6.866
La 4.591 -1.569 6.106
La 3.955 -4.938 0.496
La 4.538 -4.938 4.438
La 5.300 -4.351 7.934
Pr 2.177 0.749 0.428
Pr 1.350 -0.749 5.361
Pr 6.315 0.749 4.506
Pr 5.488 -0.749 9.439
Er 4.246 7.467 2.467
Er 3.419 -7.467 7.400
Tm 3.419 1.415 7.400
Tm 4.246 -1.415 2.467